Record 1
Entry from the Alexandria database: a relaxed structure of LaTa2Pt2 (GGA-PBE).

Calculated values
Space group ... P4/mbm, No. 127
Final energy ... -8.516 eV per atom
DOS(E_F) ... 7.4 states/eV per cell
E_form ... -0.37 eV per atom

```
LaTa2Pt2
1.0
8.1535 0.0000 0.0000
0.0000 8.1535 0.0000
0.0000 0.0000 2.8955
La Ta Pt
2 4 4
Direct
0.0000 0.0000 0.0000
0.5000 0.5000 0.0000
0.1593 0.3407 0.0000
0.3407 0.8407 0.0000
0.6593 0.1593 0.0000
0.8407 0.6593 0.0000
0.1334 0.6334 0.5000
0.3666 0.1334 0.5000
0.6334 0.8666 0.5000
0.8666 0.3666 0.5000
```

Record 2
Entry from the Alexandria database: a relaxed structure of TaFe4Br (GGA-PBE).

Calculated values
Energy relative to the elements, uncorrected ... 442.1 meV per atom
Space group ... F-43m, No. 216
Final energy ... -7.454 eV per atom
DOS(E_F) ... 4.3 states/eV per cell

```
TaFe4Br
1.0
0.0000 3.4774 3.4774
3.4774 0.0000 3.4774
3.4774 3.4774 0.0000
Ta Fe Br
1 4 1
Direct
0.0000 0.0000 0.0000
0.3737 0.3737 0.3737
0.3737 0.3737 0.8788
0.3737 0.8788 0.3737
0.8788 0.3737 0.3737
0.7500 0.7500 0.7500
```

Record 3
Entry from the Alexandria database: a relaxed structure of Sr2HgP (GGA-PBE).

Calculated values
Space group ... Amm2, No. 38
Final energy ... -3.027 eV per atom
DOS(E_F) ... 2.0 states/eV per cell
E_form ... -0.76 eV per atom

```
Sr2HgP
1.0
4.5789 0.0000 0.0000
0.0000 4.5039 0.0000
0.0000 0.0000 11.6038
Sr Hg P
4 2 2
Direct
0.0000 0.0000 0.0000
0.0000 0.5000 0.5000
0.5000 0.0000 0.2706
0.5000 0.5000 0.7706
0.0000 0.0000 0.7155
0.0000 0.5000 0.2155
0.5000 0.0000 0.5488
0.5000 0.5000 0.0488
```

Record 4
Entry from the Alexandria database: a relaxed structure of Te2HPt (GGA-PBE).

Calculated values
Space group ... I-42d, No. 122
Final energy ... -3.690 eV per atom
DOS(E_F) ... 12.4 states/eV per cell

```
Te2HPt
1.0
5.7729 0.0000 0.0000
0.0000 5.7729 0.0000
0.0000 0.0000 10.7181
Te H Pt
8 4 4
Direct
0.2100 0.2500 0.1250
0.2500 0.7100 0.3750
0.2500 0.7900 0.8750
0.2900 0.2500 0.6250
0.7100 0.7500 0.6250
0.7500 0.2100 0.8750
0.7500 0.2900 0.3750
0.7900 0.7500 0.1250
0.0000 0.0000 0.0000
0.0000 0.5000 0.2500
0.5000 0.0000 0.7500
0.5000 0.5000 0.5000
0.0000 0.0000 0.5000
0.0000 0.5000 0.7500
0.5000 0.0000 0.2500
0.5000 0.5000 0.0000
```

Record 5
Entry from the Alexandria database: a relaxed structure of PmNdGe4 (GGA-PBE).

Calculated values
Space group ... F-43m, No. 216
Final energy ... -5.035 eV per atom
DOS(E_F) ... 7.2 states/eV per cell
E_form ... -0.37 eV per atom

```
PmNdGe4
1.0
0.0000 4.0439 4.0439
4.0439 0.0000 4.0439
4.0439 4.0439 0.0000
Pm Nd Ge
1 1 4
Direct
0.0000 0.0000 0.0000
0.2500 0.2500 0.2500
0.1239 0.6254 0.6254
0.6254 0.1239 0.6254
0.6254 0.6254 0.1239
0.6254 0.6254 0.6254
```

Record 6
Entry from the Alexandria database: a relaxed structure of KTi3Ag (GGA-PBE).

Calculated values
Space group ... Pm-3m, No. 221
Final energy ... -3.592 eV per atom
DOS(E_F) ... 4.8 states/eV per cell
E_form ... 1.93 eV per atom

```
KTi3Ag
1.0
4.5493 0.0000 0.0000
0.0000 4.5493 0.0000
0.0000 0.0000 4.5493
K Ti Ag
1 3 1
Direct
0.0000 0.0000 0.0000
0.0000 0.0000 0.5000
0.0000 0.5000 0.0000
0.5000 0.0000 0.0000
0.5000 0.5000 0.5000
```

Record 7
Entry from the Alexandria database: a relaxed structure of MgGa2BiW (GGA-PBE).

Calculated values
Space group ... P4/mmm, No. 123
Final energy ... -3.633 eV per atom
DOS(E_F) ... 3.2 states/eV per cell
E_form ... 1.26 eV per atom

```
MgGa2BiW
1.0
4.8947 0.0000 0.0000
0.0000 4.8947 0.0000
0.0000 0.0000 5.1739
Mg Ga Bi W
1 2 1 1
Direct
0.0000 0.0000 0.0000
0.0000 0.5000 0.0000
0.5000 0.0000 0.0000
0.5000 0.5000 0.5000
0.0000 0.0000 0.5000
```

Record 8
Entry from the Alexandria database: a relaxed structure of KAsSBr2 (GGA-PBE).

Calculated values
Energy relative to the elements, uncorrected ... -197.8 meV per atom
Space group ... P4/mmm, No. 123
Final energy ... -2.842 eV per atom
DOS(E_F) ... 2.3 states/eV per cell

```
KAsSBr2
1.0
5.8500 0.0000 0.0000
0.0000 5.8500 0.0000
0.0000 0.0000 4.6932
K As S Br
1 1 1 2
Direct
0.0000 0.0000 0.0000
0.5000 0.5000 0.0000
0.5000 0.5000 0.5000
0.0000 0.5000 0.5000
0.5000 0.0000 0.5000
```

Record 9
Entry from the Alexandria database: a relaxed structure of GePd2Pt2 (GGA-PBE).

Calculated values
Space group ... C2/m, No. 12
Final energy ... -5.584 eV per atom
DOS(E_F) ... 8.6 states/eV per cell
E_form ... -0.17 eV per atom

```
GePd2Pt2
1.0
2.7625 -4.4336 0.0000
2.7625 4.4336 0.0000
-2.7090 0.0000 6.6098
Ge Pd Pt
2 4 4
Direct
0.1637 0.8363 0.0000
0.8363 0.1637 0.0000
0.2329 0.2329 0.4593
0.4005 0.4005 0.1433
0.5995 0.5995 0.8567
0.7671 0.7671 0.5407
0.0599 0.6286 0.2916
0.3714 0.9401 0.7084
0.6286 0.0599 0.2916
0.9401 0.3714 0.7084
```

Record 10
Entry from the Alexandria database: a relaxed structure of HfPd6Pt (GGA-PBE).

Calculated values
Space group ... P4/mmm, No. 123
Final energy ... -6.350 eV per atom
DOS(E_F) ... 10.5 states/eV per cell
E_form ... -0.46 eV per atom

```
HfPd6Pt
1.0
5.6274 0.0000 0.0000
0.0000 5.6274 0.0000
0.0000 0.0000 4.0028
Hf Pd Pt
1 6 1
Direct
0.0000 0.0000 0.0000
0.0000 0.5000 0.0000
0.2493 0.2493 0.5000
0.2493 0.7507 0.5000
0.5000 0.0000 0.0000
0.7507 0.2493 0.5000
0.7507 0.7507 0.5000
0.5000 0.5000 0.0000
```

Record 11
Entry from the Alexandria database: a relaxed structure of ThInCu10 (GGA-PBE).

Calculated values
Space group ... Pmmm, No. 47
Final energy ... -4.310 eV per atom
DOS(E_F) ... 5.7 states/eV per cell
E_form ... -0.05 eV per atom

```
ThInCu10
1.0
4.1382 0.0000 0.0000
0.0000 5.0181 0.0000
0.0000 0.0000 8.6560
Th In Cu
1 1 10
Direct
0.0000 0.0000 0.0000
0.0000 0.5000 0.5000
0.0000 0.0000 0.3439
0.0000 0.0000 0.6561
0.0000 0.5000 0.1830
0.0000 0.5000 0.8170
0.5000 0.0000 0.5000
0.5000 0.2466 0.2493
0.5000 0.2466 0.7507
0.5000 0.5000 0.0000
0.5000 0.7534 0.2493
0.5000 0.7534 0.7507
```

Record 12
Entry from the Alexandria database: a relaxed structure of AlCuP2 (GGA-PBE).

Calculated values
Space group ... Pmmm, No. 47
Final energy ... -4.422 eV per atom
DOS(E_F) ... 1.0 states/eV per cell
E_form ... 0.24 eV per atom

```
AlCuP2
1.0
3.4867 0.0000 0.0000
0.0000 3.5030 0.0000
0.0000 0.0000 4.9003
Al Cu P
1 1 2
Direct
0.0000 0.0000 0.0000
0.0000 0.5000 0.5000
0.5000 0.0000 0.5000
0.5000 0.5000 0.0000
```

Record 13
Entry from the Alexandria database: a relaxed structure of SrCaSb2S (GGA-PBE).

Calculated values
Energy relative to the elements, uncorrected ... 790.9 meV per atom
Space group ... P4/mmm, No. 123
Final energy ... -2.420 eV per atom
DOS(E_F) ... 3.6 states/eV per cell

```
SrCaSb2S
1.0
5.8275 0.0000 0.0000
0.0000 5.8275 0.0000
0.0000 0.0000 7.0452
Sr Ca Sb S
1 1 2 1
Direct
0.0000 0.0000 0.0000
0.0000 0.0000 0.5000
0.0000 0.5000 0.0000
0.5000 0.0000 0.0000
0.5000 0.5000 0.5000
```

Record 14
Entry from the Alexandria database: a relaxed structure of EuErInGa (GGA-PBE).

Calculated values
Space group ... F-43m, No. 216
Final energy ... -5.588 eV per atom
DOS(E_F) ... 22.3 states/eV per cell
E_form ... -0.44 eV per atom

```
EuErInGa
1.0
7.4911 0.0000 0.0000
0.0000 7.4911 0.0000
0.0000 0.0000 7.4911
Eu Er In Ga
4 4 4 4
Direct
0.0000 0.0000 0.0000
0.0000 0.5000 0.5000
0.5000 0.0000 0.5000
0.5000 0.5000 0.0000
0.0000 0.0000 0.5000
0.0000 0.5000 0.0000
0.5000 0.0000 0.0000
0.5000 0.5000 0.5000
0.2500 0.2500 0.7500
0.2500 0.7500 0.2500
0.7500 0.2500 0.2500
0.7500 0.7500 0.7500
0.2500 0.2500 0.2500
0.2500 0.7500 0.7500
0.7500 0.2500 0.7500
0.7500 0.7500 0.2500
```

Record 15
Entry from the Alexandria database: a relaxed structure of Pa3Te4 (GGA-PBE).

Calculated values
Energy relative to the elements, uncorrected ... -653.8 meV per atom
Space group ... R-3m, No. 166
Final energy ... -6.519 eV per atom
DOS(E_F) ... 11.9 states/eV per cell

```
Pa3Te4
1.0
1.9947 1.1516 16.1323
-1.9947 1.1516 16.1323
0.0000 -2.3033 16.1323
Pa Te
3 4
Direct
0.0000 0.0000 0.0000
0.0884 0.0884 0.0884
0.9116 0.9116 0.9116
0.2039 0.2039 0.2039
0.3772 0.3772 0.3772
0.6228 0.6228 0.6228
0.7961 0.7961 0.7961
```

Record 16
Entry from the Alexandria database: a relaxed structure of NdSmOsPd (GGA-PBE).

Calculated values
Space group ... F-43m, No. 216
Final energy ... -6.831 eV per atom
DOS(E_F) ... 13.9 states/eV per cell
E_form ... -0.35 eV per atom

```
NdSmOsPd
1.0
7.0875 0.0000 0.0000
0.0000 7.0875 0.0000
0.0000 0.0000 7.0875
Nd Sm Os Pd
4 4 4 4
Direct
0.0000 0.0000 0.0000
0.0000 0.5000 0.5000
0.5000 0.0000 0.5000
0.5000 0.5000 0.0000
0.0000 0.0000 0.5000
0.0000 0.5000 0.0000
0.5000 0.0000 0.0000
0.5000 0.5000 0.5000
0.2500 0.2500 0.7500
0.2500 0.7500 0.2500
0.7500 0.2500 0.2500
0.7500 0.7500 0.7500
0.2500 0.2500 0.2500
0.2500 0.7500 0.7500
0.7500 0.2500 0.7500
0.7500 0.7500 0.2500
```

Record 17
Entry from the Alexandria database: a relaxed structure of OsAu (GGA-PBE).

Calculated values
Space group ... Pm-3n, No. 223
Final energy ... -5.014 eV per atom
DOS(E_F) ... 23.4 states/eV per cell
E_form ... 2.24 eV per atom

```
OsAu
1.0
7.0817 0.0000 0.0000
0.0000 7.0817 0.0000
0.0000 0.0000 7.0817
Os Au
6 6
Direct
0.0000 0.2500 0.5000
0.0000 0.7500 0.5000
0.2500 0.5000 0.0000
0.5000 0.0000 0.2500
0.5000 0.0000 0.7500
0.7500 0.5000 0.0000
0.0000 0.5000 0.2500
0.0000 0.5000 0.7500
0.2500 0.0000 0.5000
0.5000 0.2500 0.0000
0.5000 0.7500 0.0000
0.7500 0.0000 0.5000
```

Record 18
Entry from the Alexandria database: a relaxed structure of GaAg2OF (GGA-PBE).

Calculated values
Energy relative to the elements, uncorrected ... 170.9 meV per atom
Space group ... P4/mmm, No. 123
Final energy ... -2.941 eV per atom
DOS(E_F) ... 1.7 states/eV per cell

```
GaAg2OF
1.0
4.2577 0.0000 0.0000
0.0000 4.2577 0.0000
0.0000 0.0000 5.0006
Ga Ag O F
1 2 1 1
Direct
0.0000 0.0000 0.0000
0.0000 0.5000 0.5000
0.5000 0.0000 0.5000
0.5000 0.5000 0.0000
0.5000 0.5000 0.5000
```

Record 19
Entry from the Alexandria database: a relaxed structure of PmCdGePb (GGA-PBE).

Calculated values
Space group ... F-43m, No. 216
Final energy ... -3.683 eV per atom
DOS(E_F) ... 11.3 states/eV per cell
E_form ... -0.19 eV per atom

```
PmCdGePb
1.0
7.4781 0.0000 0.0000
0.0000 7.4781 0.0000
0.0000 0.0000 7.4781
Pm Cd Ge Pb
4 4 4 4
Direct
0.0000 0.0000 0.0000
0.0000 0.5000 0.5000
0.5000 0.0000 0.5000
0.5000 0.5000 0.0000
0.2500 0.2500 0.2500
0.2500 0.7500 0.7500
0.7500 0.2500 0.7500
0.7500 0.7500 0.2500
0.2500 0.2500 0.7500
0.2500 0.7500 0.2500
0.7500 0.2500 0.2500
0.7500 0.7500 0.7500
0.0000 0.0000 0.5000
0.0000 0.5000 0.0000
0.5000 0.0000 0.0000
0.5000 0.5000 0.5000
```

Record 20
Entry from the Alexandria database: a relaxed structure of PaTaMo (GGA-PBE).

Calculated values
Space group ... P3m1, No. 156
Final energy ... -10.614 eV per atom
DOS(E_F) ... 3.7 states/eV per cell
E_form ... 0.11 eV per atom

```
PaTaMo
1.0
4.6821 0.0000 0.0000
-2.3410 4.0548 0.0000
0.0000 0.0000 3.0406
Pa Ta Mo
1 1 1
Direct
0.0000 0.0000 0.0000
0.3333 0.6667 0.6548
0.6667 0.3333 0.2827
```

Record 21
Entry from the Alexandria database: a relaxed structure of Rb2HgIO4 (GGA-PBE).

Calculated values
Energy relative to the elements, uncorrected ... -736.5 meV per atom
Space group ... I-4, No. 82
Final energy ... -3.689 eV per atom
DOS(E_F) ... 0.1 states/eV per cell

```
Rb2HgIO4
1.0
7.8818 0.0000 0.0000
0.0000 7.8818 0.0000
0.0000 0.0000 7.5182
Rb Hg I O
4 2 2 8
Direct
0.0000 0.0000 0.0000
0.0000 0.5000 0.2500
0.5000 0.0000 0.7500
0.5000 0.5000 0.5000
0.0000 0.0000 0.5000
0.5000 0.5000 0.0000
0.0000 0.5000 0.7500
0.5000 0.0000 0.2500
0.0902 0.3334 0.9036
0.1666 0.5902 0.5964
0.3334 0.9098 0.0964
0.4098 0.1666 0.4036
0.5902 0.8334 0.4036
0.6666 0.0902 0.0964
0.8334 0.4098 0.5964
0.9098 0.6666 0.9036
```

Record 22
Entry from the Alexandria database: a relaxed structure of Fe2TcNi (GGA-PBE).

Calculated values
Space group ... C2/m, No. 12
Final energy ... -8.128 eV per atom
DOS(E_F) ... 10.6 states/eV per cell
E_form ... 0.14 eV per atom

```
Fe2TcNi
1.0
5.0896 0.0000 0.0000
0.0000 8.4056 0.0000
-0.9265 0.0000 2.3161
Fe Tc Ni
4 2 2
Direct
0.2500 0.2500 0.0000
0.2500 0.7500 0.0000
0.7500 0.2500 0.0000
0.7500 0.7500 0.0000
0.0000 0.0000 0.5000
0.5000 0.5000 0.5000
0.0000 0.5000 0.5000
0.5000 0.0000 0.5000
```

Record 23
Entry from the Alexandria database: a relaxed structure of YBO3 (GGA-PBE).

Calculated values
Energy relative to the elements, uncorrected ... -2950.2 meV per atom
Space group ... C2/m, No. 12
Final energy ... -8.553 eV per atom
DOS(E_F) ... 0.0 states/eV per cell

```
YBO3
1.0
4.2262 -3.2993 0.0000
4.2262 3.2993 0.0000
-0.1061 0.0000 3.5533
Y B O
2 2 6
Direct
0.2077 0.2077 0.2000
0.7923 0.7923 0.8000
0.3349 0.6651 0.5000
0.6651 0.3349 0.5000
0.0985 0.6752 0.2884
0.3248 0.9015 0.7116
0.4035 0.4035 0.6978
0.5965 0.5965 0.3022
0.6752 0.0985 0.2884
0.9015 0.3248 0.7116
```

Record 24
Entry from the Alexandria database: a relaxed structure of Tb2TmHf (GGA-PBE).

Calculated values
Space group ... R-3m, No. 166
Final energy ... -5.569 eV per atom
DOS(E_F) ... 18.2 states/eV per cell
E_form ... 0.35 eV per atom

```
Tb2TmHf
1.0
3.3287 0.0000 0.0000
-1.6644 2.8828 0.0000
0.0000 0.0000 35.8119
Tb Tm Hf
6 3 3
Direct
0.0000 0.0000 0.0868
0.0000 0.0000 0.9132
0.3333 0.6667 0.5799
0.3333 0.6667 0.7535
0.6667 0.3333 0.2465
0.6667 0.3333 0.4201
0.0000 0.0000 0.5000
0.3333 0.6667 0.1667
0.6667 0.3333 0.8333
0.0000 0.0000 0.0000
0.3333 0.6667 0.6667
0.6667 0.3333 0.3333
```

Record 25
Entry from the Alexandria database: a relaxed structure of Sc4TlZn (GGA-PBE).

Calculated values
Space group ... P4/mmm, No. 123
Final energy ... -5.028 eV per atom
DOS(E_F) ... 7.5 states/eV per cell
E_form ... -0.20 eV per atom

```
Sc4TlZn
1.0
3.3520 0.0000 0.0000
0.0000 3.3520 0.0000
0.0000 0.0000 11.9774
Sc Tl Zn
4 1 1
Direct
0.0000 0.0000 0.1420
0.0000 0.0000 0.8580
0.5000 0.5000 0.3286
0.5000 0.5000 0.6714
0.0000 0.0000 0.5000
0.5000 0.5000 0.0000
```

Record 26
Entry from the Alexandria database: a relaxed structure of SrHfCd2I (GGA-PBE).

Calculated values
Energy relative to the elements, uncorrected ... 725.5 meV per atom
Space group ... P4/mmm, No. 123
Final energy ... -2.278 eV per atom
DOS(E_F) ... 7.2 states/eV per cell

```
SrHfCd2I
1.0
6.0211 0.0000 0.0000
0.0000 6.0211 0.0000
0.0000 0.0000 5.3746
Sr Hf Cd I
1 1 2 1
Direct
0.0000 0.0000 0.0000
0.5000 0.5000 0.0000
0.0000 0.5000 0.5000
0.5000 0.0000 0.5000
0.5000 0.5000 0.5000
```

Record 27
Entry from the Alexandria database: a relaxed structure of NdHoTe2O8 (GGA-PBE).

Calculated values
Energy relative to the elements, uncorrected ... -1926.6 meV per atom
Space group ... I-4m2, No. 119
Final energy ... -6.535 eV per atom
DOS(E_F) ... 1.8 states/eV per cell

```
NdHoTe2O8
1.0
-3.7363 3.7363 3.4530
3.7363 -3.7363 3.4530
3.7363 3.7363 -3.4530
Nd Ho Te O
1 1 2 8
Direct
0.0000 0.0000 0.0000
0.7500 0.2500 0.5000
0.2500 0.7500 0.5000
0.5000 0.5000 0.0000
0.0507 0.3709 0.3202
0.0507 0.7305 0.6798
0.1113 0.3015 0.8098
0.2695 0.9493 0.3202
0.4916 0.3015 0.1902
0.6291 0.9493 0.6798
0.6985 0.5084 0.8098
0.6985 0.8887 0.1902
```